Entry from Alexandria via LeMat-Bulk: TcPIr at its PBEsol-relaxed geometry (SCAN).

The value obtained for the total magnetization is 0.00 Bohr magnetons per cell. The value obtained for the formation energy is 0.9 eV per formula unit. The symmetry is No. 42. Its volume is 42 Å³ per cell.

```
data_TcPIr
_cell_length_a 6.4738
_cell_length_b 6.1748
_cell_length_c 2.8099
_cell_angle_alpha 83.19
_cell_angle_beta 71.28
_cell_angle_gamma 25.53
_space_group_name_H-M_alt 'P 1'
_space_group_IT_number 1
loop_
_space_group_symop_operation_xyz
'x,y,z'
loop_
_atom_site_label
_atom_site_type_symbol
_atom_site_fract_x
_atom_site_fract_y
_atom_site_fract_z
Tc1 Tc 0.0000 0.0000 0.0000
P1 P 0.6471 0.6471 0.3529
Ir1 Ir 0.3018 0.3018 0.6982
```